First-principles (PBE-GGA) data for an optimized crystal structure of Sc4FeRu, as listed in Alexandria via LeMat-Bulk.

Properties
- density of states at the Fermi level (states/eV/f.u.) = 3.7
- crystal system = tetragonal
- offset from the most stable computed form (meV per atom) = 0
- magnetization (μB/f.u.) = 0.000
- calculated formation energy (eV per atom) = -0.2991
- raw total energy (eV/f.u.) = -44.9

a b c (Å): 3.1776 3.1776 11.5931
angles (deg): 90.00 90.00 90.00
Last column: nearest neighbours and their distance in Å.
Fractional coordinates of all 6 atoms:
Sc: 0.0000 0.0000 0.1281  4 Fe 2.69, 1 Sc 2.97
Sc: 0.0000 0.0000 0.8719  4 Fe 2.69, 1 Sc 2.97
Sc: 0.5000 0.5000 0.3659  4 Ru 2.73
Sc: 0.5000 0.5000 0.6341  4 Ru 2.73
Fe: 0.5000 0.5000 0.0000  8 Sc 2.69
Ru: 0.0000 0.0000 0.5000  8 Sc 2.73